Entry 1:
# PBEsol ZnI2O6, optimized geometry
data_ZnI2O6
_chemical_formula_sum 'Zn2 I4 O12'
_symmetry_space_group_name_H-M 'P 1'
_symmetry_Int_Tables_number 1
_cell_length_a 5.466
_cell_length_b 5.005
_cell_length_c 9.337
_cell_angle_alpha 90.00
_cell_angle_beta 90.56
_cell_angle_gamma 90.00
loop_
_symmetry_equiv_pos_as_xyz
'x,y,z'
loop_
_atom_site_label
_atom_site_type_symbol
_atom_site_fract_x
_atom_site_fract_y
_atom_site_fract_z
Zn1 Zn 0.230 0.000 0.246
Zn2 Zn 0.770 0.500 0.754
I1 I 0.264 0.445 0.568
I2 I 0.270 0.928 0.901
I3 I 0.730 0.428 0.099
I4 I 0.736 0.945 0.432
O1 O 0.017 0.765 0.382
O2 O 0.098 0.719 0.771
O3 O 0.141 0.788 0.066
O4 O 0.352 0.225 0.418
O5 O 0.443 0.235 0.098
O6 O 0.465 0.277 0.700
O7 O 0.535 0.777 0.300
O8 O 0.557 0.735 0.902
O9 O 0.648 0.725 0.582
O10 O 0.859 0.288 0.934
O11 O 0.902 0.219 0.229
O12 O 0.983 0.265 0.618
# Space group: P2_1, No. 4
# Volume in Å³ per atom: 14.19
# Formation energy from raw total energies in eV per formula unit: -5.54



Entry 2:
# PBEsol CaScIO2, optimized geometry
data_CaScIO2
_chemical_formula_sum 'Ca1 Sc1 I1 O2'
_symmetry_space_group_name_H-M 'P 1'
_symmetry_Int_Tables_number 1
_cell_length_a 4.311
_cell_length_b 4.311
_cell_length_c 5.595
_cell_angle_alpha 90.00
_cell_angle_beta 90.00
_cell_angle_gamma 90.00
loop_
_symmetry_equiv_pos_as_xyz
'x,y,z'
loop_
_atom_site_label
_atom_site_type_symbol
_atom_site_fract_x
_atom_site_fract_y
_atom_site_fract_z
Ca1 Ca 0.000 0.000 0.000
Sc1 Sc 0.500 0.500 0.500
I1 I 0.000 0.000 0.500
O1 O 0.000 0.500 0.000
O2 O 0.500 0.000 0.000
# Space group: P4/mmm, No. 123
# Volume in Å³ per atom: 20.80
# Formation energy from raw total energies in eV per formula unit: -4.38



Entry 3:
# PBEsol RbAlAs2O7, optimized geometry
data_RbAlAs2O7
_chemical_formula_sum 'Rb2 Al2 As4 O14'
_symmetry_space_group_name_H-M 'P 1'
_symmetry_Int_Tables_number 1
_cell_length_a 6.276
_cell_length_b 6.373
_cell_length_c 8.281
_cell_angle_alpha 96.68
_cell_angle_beta 104.24
_cell_angle_gamma 102.57
loop_
_symmetry_equiv_pos_as_xyz
'x,y,z'
loop_
_atom_site_label
_atom_site_type_symbol
_atom_site_fract_x
_atom_site_fract_y
_atom_site_fract_z
Rb1 Rb 0.000 0.000 0.000
Rb2 Rb 0.000 0.000 0.500
Al1 Al 0.377 0.687 0.228
Al2 Al 0.623 0.313 0.772
As1 As 0.175 0.471 0.814
As2 As 0.492 0.245 0.337
As3 As 0.508 0.755 0.663
As4 As 0.825 0.529 0.186
O1 O 0.095 0.681 0.274
O2 O 0.219 0.637 0.656
O3 O 0.223 0.649 0.993
O4 O 0.325 0.380 0.219
O5 O 0.335 0.289 0.815
O6 O 0.421 0.989 0.227
O7 O 0.464 0.255 0.535
O8 O 0.536 0.745 0.465
O9 O 0.579 0.011 0.773
O10 O 0.665 0.711 0.185
O11 O 0.675 0.620 0.781
O12 O 0.777 0.351 0.007
O13 O 0.781 0.363 0.344
O14 O 0.905 0.319 0.726
# Space group: P-1, No. 2
# Volume in Å³ per atom: 14.01
# Formation energy from raw total energies in eV per formula unit: -19.67